No. 1
Below is a geometry-optimized Ho2In6Ni structure, with properties calculated at the GGA-PBE level.

Lattice parameters (Å, degrees): 3.8075 4.6986 24.8392 90.00 90.00 90.00
Space group Amm2 (No. 38)
Unique sites:
1 Ho 0.0000 0.0000 0.0000 (multiplicity 2)
2 Ho 0.0000 0.0000 0.3317 (multiplicity 2)
3 In 0.0000 0.0000 0.6195 (multiplicity 2)
4 In 0.0000 0.0000 0.7442 (multiplicity 2)
5 In 0.5000 0.0000 0.1037 (multiplicity 2)
6 In 0.5000 0.0000 0.2210 (multiplicity 2)
7 In 0.5000 0.0000 0.4425 (multiplicity 2)
8 In 0.5000 0.0000 0.8710 (multiplicity 2)
9 Ni 0.5000 0.0000 0.5444 (multiplicity 2)

Computed properties:
**Uncorrected energy**: -66.775 eV per cell
**Calculated formation energy**: -0.2244 eV/atom

No. 2
Below is a geometry-optimized TlTc3 structure, with properties calculated at the GGA-PBE level.

Lattice parameters (Å, degrees): 4.5347 5.5271 5.2781 90.00 90.00 90.00
Space group Pmmn (No. 59, origin choice 2)
Unique sites:
1 Tl 0.2500 0.2500 0.1213 (multiplicity 2)
2 Tc 0.2500 0.5216 0.6282 (multiplicity 4)
3 Tc 0.2500 0.7500 0.1910 (multiplicity 2)

Computed properties:
**E above lowest polymorph**: 28 kJ/mol of formula units
**Uncorrected energy**: -63.028 eV per cell
**Calculated formation energy**: 0.4876 eV/atom

No. 3
Below is a geometry-optimized VPdS2 structure, with properties calculated at the GGA-PBE level.

Lattice parameters (Å, degrees): 6.3314 3.1369 7.0144 90.00 93.98 90.00
Space group Pm (No. 6)
Unique sites:
1 V 0.0000 0.0000 0.0000 (multiplicity 1)
2 V 0.2602 0.5000 0.2616 (multiplicity 1)
3 Pd 0.1521 0.0000 0.6309 (multiplicity 1)
4 Pd 0.5744 0.0000 0.7841 (multiplicity 1)
5 S 0.3616 0.0000 0.0425 (multiplicity 1)
6 S 0.4443 0.0000 0.4505 (multiplicity 1)
7 S 0.8884 0.5000 0.7621 (multiplicity 1)
8 S 0.8933 0.5000 0.2160 (multiplicity 1)

Computed properties:
**Uncorrected energy**: -50.142 eV per cell
**Energy relative to the elements, uncorrected**: -2.50 eV/f.u.

No. 4
Below is a geometry-optimized Li2Zn2InAg5 structure, with properties calculated at the GGA-PBE level.

Lattice parameters (Å, degrees): 9.4381 9.4381 4.1395 90.00 90.00 90.00
Space group P4/mbm (No. 127)
Unique sites:
1 Li 0.1728 0.3272 0.0000 (multiplicity 4)
2 Zn 0.1227 0.6227 0.0000 (multiplicity 4)
3 In 0.0000 0.0000 0.0000 (multiplicity 2)
4 Ag 0.0000 0.5000 0.5000 (multiplicity 2)
5 Ag 0.0841 0.7994 0.5000 (multiplicity 8)

Computed properties:
**Uncorrected energy**: -48.466 eV per cell
**Calculated formation energy**: -0.0863 eV/atom

No. 5
Below is a geometry-optimized GdSi2Ni10 structure, with properties calculated at the GGA-PBE level.

Lattice parameters (Å, degrees): 4.7839 7.9957 8.2522 90.00 90.00 90.00
Space group Immm (No. 71)
Unique sites:
1 Gd 0.0000 0.0000 0.0000 (multiplicity 2)
2 Si 0.0000 0.5000 0.2533 (multiplicity 4)
3 Ni 0.0000 0.0000 0.3561 (multiplicity 4)
4 Ni 0.0000 0.3072 0.5000 (multiplicity 4)
5 Ni 0.0000 0.3483 0.0000 (multiplicity 4)
6 Ni 0.2500 0.2500 0.2500 (multiplicity 8)

Computed properties:
**Uncorrected energy**: -175.704 eV per cell
**Energy relative to the elements, uncorrected**: -5.11 eV/f.u.

No. 6
Below is a geometry-optimized KRbMoBr2 structure, with properties calculated at the GGA-PBE level.

Lattice parameters (Å, degrees): 6.4763 6.4763 6.4121 90.00 90.00 90.00
Space group P4/mmm (No. 123)
Unique sites:
1 K 0.0000 0.0000 0.0000 (multiplicity 1)
2 Rb 0.5000 0.5000 0.5000 (multiplicity 1)
3 Mo 0.5000 0.5000 0.0000 (multiplicity 1)
4 Br 0.0000 0.5000 0.5000 (multiplicity 2)

Computed properties:
**Uncorrected energy**: -15.284 eV per cell
**Energy relative to the elements, uncorrected**: 0.96 eV/f.u.

No. 7
Below is a geometry-optimized K3Li structure, with properties calculated at the GGA-PBE level.

Lattice parameters (Å, degrees): 4.7437 4.6521 10.5189 90.00 90.05 90.00
Space group P2/m (No. 10)
Unique sites:
1 K 0.0000 0.0000 0.0000 (multiplicity 1)
2 K 0.5001 0.5000 0.2993 (multiplicity 2)
3 Li 0.0000 0.0000 0.5000 (multiplicity 1)

Computed properties:
**Uncorrected energy**: -4.847 eV per cell
**Calculated formation energy**: 0.0899 eV/atom

No. 8
Below is a geometry-optimized PmNpFe4 structure, with properties calculated at the GGA-PBE level.

Lattice parameters (Å, degrees): 9.9238 6.2849 6.8848 90.00 114.10 90.00
Space group C2/m (No. 12)
Unique sites:
1 Pm 0.2078 0.0000 0.3067 (multiplicity 4)
2 Np 0.0281 0.5000 0.2279 (multiplicity 4)
3 Fe 0.0000 0.1837 0.5000 (multiplicity 4)
4 Fe 0.1025 0.2189 0.8983 (multiplicity 8)
5 Fe 0.2484 0.5000 0.2221 (multiplicity 4)

Computed properties:
**E above lowest polymorph**: 0 kJ/mol of formula units
**Uncorrected energy**: -203.819 eV per cell
**Calculated formation energy**: 0.0979 eV/atom

No. 9
Below is a geometry-optimized YPRuO structure, with properties calculated at the GGA-PBE level.

Lattice parameters (Å, degrees): 4.0015 4.0015 7.9340 90.00 90.00 90.00
Space group P4/nmm (No. 129, origin choice 2)
Unique sites:
1 Y 0.2500 0.2500 0.1349 (multiplicity 2)
2 P 0.2500 0.2500 0.6498 (multiplicity 2)
3 Ru 0.2500 0.7500 0.5000 (multiplicity 2)
4 O 0.2500 0.7500 0.0000 (multiplicity 2)

Computed properties:
**Uncorrected energy**: -68.417 eV per cell
**Energy relative to the elements, uncorrected**: -8.10 eV/f.u.

No. 10
Below is a geometry-optimized La2ReIr structure, with properties calculated at the GGA-PBE level.

Lattice parameters (Å, degrees): 4.1837 4.9825 9.7282 90.00 90.00 90.00
Space group Imm2 (No. 44)
Unique sites:
1 La 0.0000 0.0000 0.0000 (multiplicity 2)
2 La 0.0000 0.5000 0.1975 (multiplicity 2)
3 Re 0.0000 0.5000 0.7934 (multiplicity 2)
4 Ir 0.0000 0.0000 0.4098 (multiplicity 2)

Computed properties:
**E above lowest polymorph**: 63 kJ/mol of formula units
**Uncorrected energy**: -62.285 eV per cell
**Calculated formation energy**: 0.0054 eV/atom

No. 11
Below is a geometry-optimized CrRh structure, with properties calculated at the GGA-PBE level.

Lattice parameters (Å, degrees): 4.0646 4.0646 7.8109 90.00 90.00 120.00
Space group P6_3/mmc (No. 194)
Unique sites:
1 Cr 0.0000 0.0000 0.2500 (multiplicity 2)
2 Cr 0.3333 0.6667 0.2500 (multiplicity 2)
3 Rh 0.3333 0.6667 0.5801 (multiplicity 4)

Computed properties:
**Uncorrected energy**: -65.948 eV per cell
**Calculated formation energy**: 0.2440 eV/atom

No. 12
Below is a geometry-optimized CoRh2 structure, with properties calculated at the GGA-PBE level.

Lattice parameters (Å, degrees): 2.6618 2.6618 23.1224 90.00 90.00 90.00
Space group I4_1/amd (No. 141, origin choice 2)
Unique sites:
1 Co 0.0000 0.2500 0.3750 (multiplicity 4)
2 Rh 0.0000 0.2500 0.7990 (multiplicity 8)

Computed properties:
**Uncorrected energy**: -84.922 eV per cell
**Calculated formation energy**: 0.1928 eV/atom

No. 13
Below is a geometry-optimized SmZn2Pd9 structure, with properties calculated at the GGA-PBE level.

Lattice parameters (Å, degrees): 4.0699 4.0699 11.6530 90.00 90.00 90.00
Space group P4/mmm (No. 123)
Unique sites:
1 Sm 0.0000 0.0000 0.0000 (multiplicity 1)
2 Zn 0.0000 0.0000 0.3443 (multiplicity 2)
3 Pd 0.0000 0.5000 0.1848 (multiplicity 4)
4 Pd 0.0000 0.5000 0.5000 (multiplicity 2)
5 Pd 0.5000 0.5000 0.0000 (multiplicity 1)
6 Pd 0.5000 0.5000 0.3418 (multiplicity 2)

Computed properties:
**Uncorrected energy**: -59.415 eV per cell
**Calculated formation energy**: -0.4511 eV/atom

No. 14
Below is a geometry-optimized Nb2CrGeN structure, with properties calculated at the GGA-PBE level.

Lattice parameters (Å, degrees): 4.3083 4.3083 3.7646 90.00 90.00 90.00
Space group P4/mmm (No. 123)
Unique sites:
1 Nb 0.0000 0.5000 0.0000 (multiplicity 2)
2 Cr 0.0000 0.0000 0.5000 (multiplicity 1)
3 Ge 0.5000 0.5000 0.5000 (multiplicity 1)
4 N 0.0000 0.0000 0.0000 (multiplicity 1)

Computed properties:
**Uncorrected energy**: -44.666 eV per cell
**Energy relative to the elements, uncorrected**: -1.96 eV/f.u.

No. 15
Below is a geometry-optimized Cu2MoAs2 structure, with properties calculated at the GGA-PBE level.

Lattice parameters (Å, degrees): 6.6543 6.6543 3.4515 90.00 90.00 90.00
Space group P4/mbm (No. 127)
Unique sites:
1 Cu 0.1422 0.3578 0.0000 (multiplicity 4)
2 Mo 0.0000 0.0000 0.5000 (multiplicity 2)
3 As 0.1557 0.6557 0.5000 (multiplicity 4)

Computed properties:
**Uncorrected energy**: -55.168 eV per cell
**Calculated formation energy**: 0.1477 eV/atom

No. 16
Below is a geometry-optimized K3Re2AgO9 structure, with properties calculated at the GGA-PBE level.

Lattice parameters (Å, degrees): 5.7544 5.7544 7.5079 90.00 90.00 120.00
Space group P-3m1 (No. 164)
Unique sites:
1 K 0.0000 0.0000 0.0000 (multiplicity 1)
2 K 0.3333 0.6667 0.6757 (multiplicity 2)
3 Re 0.3333 0.6667 0.1623 (multiplicity 2)
4 Ag 0.0000 0.0000 0.5000 (multiplicity 1)
5 O 0.0000 0.5000 0.0000 (multiplicity 3)
6 O 0.1796 0.3593 0.2889 (multiplicity 6)

Computed properties:
**Uncorrected energy**: -98.725 eV per cell
**Energy relative to the elements, uncorrected**: -23.06 eV/f.u.

No. 17
Below is a geometry-optimized NbSe2S structure, with properties calculated at the GGA-PBE level.

Lattice parameters (Å, degrees): 6.4109 6.4109 10.4235 90.00 90.00 90.00
Space group I-42d (No. 122)
Unique sites:
1 Nb 0.0000 0.0000 0.0000 (multiplicity 4)
2 Se 0.2129 0.2500 0.1250 (multiplicity 8)
3 S 0.0000 0.0000 0.5000 (multiplicity 4)

Computed properties:
**Uncorrected energy**: -81.323 eV per cell
**Energy relative to the elements, uncorrected**: 0.84 eV/f.u.

No. 18
Below is a geometry-optimized PaCu4Ag structure, with properties calculated at the GGA-PBE level.

Lattice parameters (Å, degrees): 7.1721 7.1721 7.1721 90.00 90.00 90.00
Space group F-43m (No. 216)
Unique sites:
1 Pa 0.0000 0.0000 0.0000 (multiplicity 4)
2 Cu 0.1237 0.1237 0.3763 (multiplicity 16)
3 Ag 0.2500 0.2500 0.7500 (multiplicity 4)

Computed properties:
**Uncorrected energy**: -116.762 eV per cell
**Calculated formation energy**: -0.0764 eV/atom

No. 19
Below is a geometry-optimized Cs2KAgHg structure, with properties calculated at the GGA-PBE level.

Lattice parameters (Å, degrees): 7.1849 7.1849 5.6462 90.00 90.00 90.00
Space group P4/mmm (No. 123)
Unique sites:
1 Cs 0.0000 0.5000 0.0000 (multiplicity 2)
2 K 0.0000 0.0000 0.5000 (multiplicity 1)
3 Ag 0.5000 0.5000 0.0000 (multiplicity 1)
4 Hg 0.5000 0.5000 0.5000 (multiplicity 1)

Computed properties:
**E above lowest polymorph**: 49 kJ/mol of formula units
**Uncorrected energy**: -5.926 eV per cell
**Calculated formation energy**: 0.0063 eV/atom

No. 20
Below is a geometry-optimized Ho2ScNi2 structure, with properties calculated at the GGA-PBE level.

Lattice parameters (Å, degrees): 3.8142 6.0775 8.9700 90.00 90.00 90.00
Space group Immm (No. 71)
Unique sites:
1 Ho 0.0000 0.0000 0.1946 (multiplicity 4)
2 Sc 0.0000 0.5000 0.0000 (multiplicity 2)
3 Ni 0.0000 0.2952 0.5000 (multiplicity 4)

Computed properties:
**E above lowest polymorph**: 0 kJ/mol of formula units
**Uncorrected energy**: -57.658 eV per cell
**Calculated formation energy**: -0.3559 eV/atom